Entry 1:
DFT (GGA-PBE) results for crystalline In2AgMo at its relaxed geometry.

It has space group Pmmm (No. 47), with a = 3.0394 Å, b = 3.9658 Å, c = 6.4012 Å, α = 90.00°, β = 90.00° and γ = 90.00°. Symmetry generates all atoms from In at (0.0000, 0.0000, 0.2416), Ag at (0.5000, 0.5000, 0.5000) and Mo at (0.5000, 0.5000, 0.0000).

For the density of states at the Fermi level, the calculation gives 3.240 states/eV/cell. The formation energy is 0.326 eV/atom. The value obtained for the energy above the most stable polymorph in this dataset is 0.30 eV/f.u. As for the final energy: -17.9 eV for the cell shown.


Entry 2:
DFT (GGA-PBE) results for crystalline MgMnSi2 at its relaxed geometry.

It has space group R-3m (No. 166, hexagonal axes), with a = 2.9159 Å, b = 2.9159 Å, c = 23.8362 Å, α = 90.00°, β = 90.00° and γ = 120.00°. Symmetry generates all atoms from Mg at (0.0000, 0.0000, 0.0000), Mn at (0.0000, 0.0000, 0.5000) and Si at (0.0000, 0.0000, 0.2377).

For the density of states at the Fermi level, the calculation gives 5.327 states/eV/cell. The raw formation energy comes out at -0.17 eV per formula unit. As for the final energy: -65.3 eV for the cell shown.


Listing size of the total moment for the structures above in their given order: 0.000, 3.977 μB/cell.